A plane-wave DFT calculation with GGA-PBE was carried out for crystalline Tm6SbP2Se3 at its relaxed geometry.

Cell and atoms, written as POSCAR:
```
Tm6SbP2Se3
1.0
8.859 -2.017 0.000
8.859 2.017 0.000
-1.881 0.000 7.942
Tm Sb P Se
6 1 2 3
Cartesian
-0.325 0.000 2.104 Tm
4.976 0.000 3.395 Tm
4.124 0.000 7.068 Tm
11.712 0.000 0.874 Tm
10.860 0.000 4.547 Tm
16.162 0.000 5.838 Tm
8.859 0.000 0.000 Sb
2.345 0.000 2.681 P
13.492 0.000 5.262 P
1.321 0.000 6.623 Se
7.918 0.000 3.971 Se
14.516 0.000 1.320 Se
```

Properties
For the energy relative to the elements, uncorrected, the calculation gives -1.60 eV/atom. The calculated density is 8.39 Mg/m³.

=====

A plane-wave DFT calculation with GGA-PBE was carried out for crystalline Tm4SbPSe2 at its relaxed geometry.

Cell and atoms, written as POSCAR:
```
Tm4SbPSe2
1.0
7.047 0.000 0.000
0.000 4.077 0.000
-2.380 0.000 6.745
Tm Sb P Se
4 1 1 2
Cartesian
1.120 0.000 1.539 Tm
-0.082 2.039 5.193 Tm
4.749 2.039 1.551 Tm
3.547 0.000 5.205 Tm
-1.190 0.000 3.372 Sb
0.000 2.039 0.000 P
3.523 0.000 0.000 Se
2.334 2.039 3.372 Se
```

Properties
For the energy relative to the elements, uncorrected, the calculation gives -1.52 eV/atom. The calculated density is 8.45 Mg/m³.

=====

A plane-wave DFT calculation with GGA-PBE was carried out for crystalline Tm6SbP3Se2 at its relaxed geometry.

Cell and atoms, written as POSCAR:
```
Tm6SbP3Se2
1.0
8.841 -2.009 0.000
8.841 2.009 0.000
-2.000 0.000 7.884
Tm Sb P Se
6 1 3 2
Cartesian
-0.394 0.000 1.838 Tm
4.919 0.000 3.373 Tm
4.163 0.000 7.131 Tm
11.518 0.000 0.753 Tm
10.762 0.000 4.511 Tm
16.075 0.000 6.045 Tm
7.841 0.000 3.942 Sb
2.289 0.000 2.612 P
8.841 0.000 0.000 P
13.393 0.000 5.271 P
1.306 0.000 6.596 Se
14.375 0.000 1.288 Se
```

Properties
For the energy relative to the elements, uncorrected, the calculation gives -1.60 eV/atom. The calculated density is 8.22 Mg/m³.

=====

A plane-wave DFT calculation with GGA-PBE was carried out for crystalline Y6Sb3PSe2 at its relaxed geometry.

Cell and atoms, written as POSCAR:
```
Y6Sb3PSe2
1.0
9.241 -2.111 0.000
9.241 2.111 0.000
-1.968 0.000 8.245
Y Sb P Se
6 3 1 2
Cartesian
-0.449 0.000 1.899 Y
16.963 0.000 6.346 Y
5.323 0.000 3.469 Y
4.540 0.000 7.547 Y
11.974 0.000 0.697 Y
11.191 0.000 4.776 Y
1.503 0.000 6.888 Sb
8.257 0.000 4.122 Sb
15.011 0.000 1.357 Sb
9.241 0.000 0.000 P
2.419 0.000 2.761 Se
14.095 0.000 5.483 Se
```

Properties
For the energy relative to the elements, uncorrected, the calculation gives -1.46 eV/atom. The calculated density is 5.61 Mg/m³.

=====

A plane-wave DFT calculation with GGA-PBE was carried out for crystalline Y4Sb2PSe at its relaxed geometry.

Cell and atoms, written as POSCAR:
```
Y4Sb2PSe
1.0
7.296 0.000 0.000
0.000 4.207 0.000
-2.413 0.000 6.932
Y Sb P Se
4 2 1 1
Cartesian
1.162 0.000 1.591 Y
-0.052 2.104 5.304 Y
4.935 2.104 1.628 Y
3.720 0.000 5.341 Y
-1.206 0.000 3.466 Sb
2.441 2.104 3.466 Sb
0.000 2.104 0.000 P
3.648 0.000 0.000 Se
```

Properties
For the energy relative to the elements, uncorrected, the calculation gives -1.44 eV/atom. The calculated density is 5.53 Mg/m³.

=====

A plane-wave DFT calculation with GGA-PBE was carried out for crystalline Y6SbP3Se2 at its relaxed geometry.

Cell and atoms, written as POSCAR:
```
Y6SbP3Se2
1.0
8.983 -2.041 0.000
8.983 2.041 0.000
-2.030 0.000 8.010
Y Sb P Se
6 1 3 2
Cartesian
-0.407 0.000 1.874 Y
5.005 0.000 3.420 Y
4.231 0.000 7.247 Y
11.706 0.000 0.763 Y
10.932 0.000 4.590 Y
16.344 0.000 6.136 Y
7.969 0.000 4.005 Sb
2.324 0.000 2.656 P
8.983 0.000 0.000 P
13.613 0.000 5.354 P
1.330 0.000 6.702 Se
14.607 0.000 1.308 Se
```

Properties
For the energy relative to the elements, uncorrected, the calculation gives -1.65 eV/atom. The calculated density is 5.12 Mg/m³.

=====

A plane-wave DFT calculation with GGA-PBE was carried out for crystalline ZrSb2PSe at its relaxed geometry.

Cell and atoms, written as POSCAR:
```
ZrSb2PSe
1.0
5.285 0.000 0.000
0.000 5.285 0.000
0.000 0.000 4.713
Zr Sb P Se
1 2 1 1
Cartesian
0.000 0.000 0.000 Zr
0.000 2.643 2.356 Sb
2.643 0.000 2.356 Sb
2.643 2.643 0.000 P
2.643 2.643 2.356 Se
```

Properties
For the energy relative to the elements, uncorrected, the calculation gives 0.69 eV/atom. The calculated density is 5.61 Mg/m³.

=====

A plane-wave DFT calculation with GGA-PBE was carried out for crystalline SiSbP2 at its relaxed geometry.

Cell and atoms, written as POSCAR:
```
SiSbP2
1.0
4.719 -1.605 0.000
4.719 1.605 0.000
-2.344 0.000 5.455
Si Sb P
1 1 2
Cartesian
0.000 0.000 0.000 Si
1.508 0.000 2.212 Sb
0.576 0.000 5.447 P
3.795 0.000 4.348 P
```

Properties
For the energy relative to the elements, uncorrected, the calculation gives 0.27 eV/atom. The calculated density is 4.26 Mg/m³. The calculation puts the energy above the most stable polymorph in this dataset at 14.8 kJ per mole of atoms.

=====

A plane-wave DFT calculation with GGA-PBE was carried out for crystalline SiSbP2 at its relaxed geometry.

Cell and atoms, written as POSCAR:
```
SiSbP2
1.0
3.259 -3.277 0.000
3.259 3.277 0.000
0.000 0.000 3.336
Si Sb P
1 1 2
Cartesian
0.000 0.000 0.000 Si
3.259 0.000 0.000 Sb
1.629 1.638 1.668 P
1.629 -1.638 1.668 P
```

Properties
For the energy relative to the elements, uncorrected, the calculation gives 0.63 eV/atom. The calculated density is 4.94 Mg/m³. The calculation puts the energy above the most stable polymorph in this dataset at 49.0 kJ per mole of atoms.

=====

A plane-wave DFT calculation with GGA-PBE was carried out for crystalline SiSbP2 at its relaxed geometry.

Cell and atoms, written as POSCAR:
```
SiSbP2
1.0
0.000 3.272 3.272
3.272 0.000 3.272
3.272 3.272 0.000
Si Sb P
1 1 2
Cartesian
0.000 0.000 0.000 Si
1.636 1.636 1.636 Sb
3.272 3.272 3.272 P
4.908 4.908 4.908 P
```

Properties
For the energy relative to the elements, uncorrected, the calculation gives 0.70 eV/atom. The calculated density is 5.02 Mg/m³. The calculation puts the energy above the most stable polymorph in this dataset at 56.0 kJ per mole of atoms.

=====

A plane-wave DFT calculation with GGA-PBE was carried out for crystalline SiSb4P at its relaxed geometry.

Cell and atoms, written as POSCAR:
```
SiSb4P
1.0
0.000 4.310 4.310
4.310 0.000 4.310
4.310 4.310 0.000
Si Sb P
1 4 1
Cartesian
0.000 0.000 0.000 Si
3.232 3.232 3.232 Sb
5.388 5.388 3.232 Sb
5.388 3.232 5.388 Sb
3.232 5.388 5.388 Sb
6.465 6.465 6.465 P
```

Properties
For the energy relative to the elements, uncorrected, the calculation gives 0.89 eV/atom. The calculated density is 5.66 Mg/m³.

=====

A plane-wave DFT calculation with GGA-PBE was carried out for crystalline SiSbP2 at its relaxed geometry.

Cell and atoms, written as POSCAR:
```
SiSbP2
1.0
-1.663 2.500 4.685
1.663 -2.500 4.685
1.663 2.500 -4.685
Si Sb P
1 1 2
Cartesian
0.000 0.000 0.000 Si
0.000 0.000 4.685 Sb
1.663 0.000 1.666 P
0.000 2.500 3.019 P
```

Properties
For the energy relative to the elements, uncorrected, the calculation gives 0.46 eV/atom. The calculated density is 4.51 Mg/m³. The calculation puts the energy above the most stable polymorph in this dataset at 32.6 kJ per mole of atoms.

=====

| no. | total magnetization (μB/cell) | uncorrected energy (eV/atom) |
| --- | --- | --- |
| 1 | 0.00 | -5.95 |
| 2 | 0.00 | -5.82 |
| 3 | 0.00 | -6.11 |
| 4 | 0.00 | -6.75 |
| 5 | 0.00 | -6.82 |
| 6 | 0.00 | -7.16 |
| 7 | 0.00 | -4.45 |
| 8 | 0.00 | -4.82 |
| 9 | 0.00 | -4.47 |
| 10 | 0.00 | -4.39 |
| 11 | 0.00 | -3.66 |
| 12 | 0.00 | -4.64 |